Record 1
The following is a DFT calculation (PBE) of a relaxed structure of AcZrSn.

Results
energy above the most stable polymorph in this dataset = 16.75 kcal/mol of atoms

Cell: 7.6271 7.6271 7.6271 Å, 90.00 90.00 90.00°
Closest atoms and distances in Å follow each position.
Space group F-43m (No. 216)
Asymmetric unit:
Ac 0.0000 0.0000 0.0000  4 Zr 3.30, 4 Sn 3.30
Zr 0.2500 0.2500 0.2500  4 Ac 3.30
Sn 0.2500 0.2500 0.7500  4 Ac 3.30

=====

Record 2
The following is a DFT calculation (PBE) of a relaxed structure of SrAcTa.

Results
energy above the most stable polymorph in this dataset = 0.00 kcal/mol of atoms

Cell: 7.7648 7.7648 7.7648 Å, 90.00 90.00 90.00°
Closest atoms and distances in Å follow each position.
Space group F-43m (No. 216)
Asymmetric unit:
Sr 0.0000 0.0000 0.0000  4 Ta 3.36
Ac 0.0000 0.0000 0.5000  4 Ta 3.36
Ta 0.2500 0.2500 0.2500  4 Sr 3.36, 4 Ac 3.36

=====

Record 3
The following is a DFT calculation (PBE) of a relaxed structure of SrAcTh.

Results
E_tot = -41.00 eV per cell

Cell: 8.3586 8.3586 8.3586 Å, 90.00 90.00 90.00°
Closest atoms and distances in Å follow each position.
Space group F-43m (No. 216)
Asymmetric unit:
Sr 0.0000 0.0000 0.0000  4 Ac 3.62
Ac 0.2500 0.2500 0.2500  4 Th 3.62, 4 Sr 3.62
Th 0.0000 0.0000 0.5000  4 Ac 3.62

=====

Record 4
The following is a DFT calculation (PBE) of a relaxed structure of SrAcW.

Results
E_tot = -59.85 eV per cell

Cell: 7.5740 7.5740 7.5740 Å, 90.00 90.00 90.00°
Closest atoms and distances in Å follow each position.
Space group F-43m (No. 216)
Asymmetric unit:
Sr 0.0000 0.0000 0.0000  4 W 3.28
Ac 0.0000 0.0000 0.5000  4 W 3.28
W 0.2500 0.2500 0.2500  4 Ac 3.28, 4 Sr 3.28

=====

Record order is preserved below.
Total magnetic moment: 0.931, 0.890, 0.020, 0.805 μB per atom